The following is a DFT calculation (PBE with a Hubbard U) of a geometry-optimized RbPa4Co3O12 structure.

abc: 7.184 7.184 7.184
angles: 109.47 109.47 109.47
Positions (direct):
Rb 0.000 0.000 0.000
Pa 0.000 0.000 0.500
Pa 0.000 0.500 0.000
Pa 0.500 0.000 0.000
Pa 0.500 0.500 0.500
Co 0.000 0.500 0.500
Co 0.500 0.000 0.500
Co 0.500 0.500 0.000
O 0.128 0.821 0.307
O 0.179 0.307 0.486
O 0.179 0.693 0.872
O 0.307 0.128 0.821
O 0.307 0.486 0.179
O 0.486 0.179 0.307
O 0.514 0.821 0.693
O 0.693 0.514 0.821
O 0.693 0.872 0.179
O 0.821 0.307 0.128
O 0.821 0.693 0.514
O 0.872 0.179 0.693

Magnetization   0.3000 μB per atom
Space-group type   Im-3
DFT total energy   -166.11 eV/f.u.